Here is a relaxed Li7Mn2Co3O12 crystal from Alexandria. Energies are from GGA+U.

a = 6.5776 Å, b = 6.5776 Å, c = 11.9150 Å
α = 76.70°, β = 76.70°, γ = 25.25°
Site moments in Bohr magnetons follow the coordinates.
Positions (direct):
Li (0.0000, 0.0000, 0.5000)  0.01
Li (0.6664, 0.6664, 0.0805)  0.01
Li (0.3336, 0.3336, 0.9195)  0.01
Li (0.0011, 0.0011, 0.2538)  0.01
Li (0.9989, 0.9989, 0.7462)  0.01
Li (0.6584, 0.6584, 0.5846)  0.00
Li (0.3416, 0.3416, 0.4154)  0.00
O (0.8318, 0.8318, 0.5556)  -0.06
O (0.1699, 0.1699, 0.2226)  0.03
O (0.1745, 0.1745, 0.7111)  0.21
O (0.4984, 0.4984, 0.1186)  0.36
O (0.4863, 0.4863, 0.6297)  -0.09
O (0.8350, 0.8350, 0.0483)  0.35
O (0.5016, 0.5016, 0.8814)  0.36
O (0.8255, 0.8255, 0.2889)  0.21
O (0.5137, 0.5137, 0.3703)  -0.09
O (0.1682, 0.1682, 0.4444)  -0.06
O (0.8301, 0.8301, 0.7774)  0.03
O (0.1650, 0.1650, 0.9517)  0.35
Co (0.6648, 0.6648, 0.8328)  3.03
Co (0.0000, 0.0000, 0.0000)  3.07
Co (0.3352, 0.3352, 0.1672)  3.03
Mn (0.3386, 0.3386, 0.6619)  3.12
Mn (0.6614, 0.6614, 0.3381)  3.12

Computed properties:
- Density of states at the Fermi level: 0.10 states/eV per atom
- Spin magnetization: 17.4 μB per cell
- Space-group type: C2/m (12)
- Final energy: -5.8482 eV/atom